Compound: Cd2PdPt6
Source: Alexandria via LeMat-Bulk
Functional: PBE-GGA
Structure: relaxed

Computed properties:
Its density of states at the Fermi level is 8.2 states/eV/f.u. As for the energy above the most stable polymorph in this dataset: 7.0 kJ/mol of atoms. The energy of formation comes out at -0.1119 eV per atom. As for the total energy: -4.9194 eV/atom. As for the space-group type: C2/m, No. 12.

Structure (POSCAR):
```
Cd2PdPt6
1.0
-1.021 -2.648 0.209
4.807 -3.056 -5.768
1.258 -0.600 7.986
Pd Pt Cd
1 6 2
direct
0.000 0.000 0.000
0.158 0.833 0.509
0.336 0.334 0.334
0.158 0.509 0.833
0.842 0.491 0.167
0.842 0.167 0.491
0.664 0.666 0.666
0.500 0.831 0.169
0.500 0.169 0.831
```


Compound: Cd3Pd3Pt2
Source: Alexandria via LeMat-Bulk
Functional: PBE-GGA
Structure: relaxed

Computed properties:
Its density of states at the Fermi level is 5.9 states/eV/f.u. As for the energy above the most stable polymorph in this dataset: 1.4 kJ/mol of atoms. The energy of formation comes out at -0.2909 eV per atom. As for the total energy: -4.0915 eV/atom. As for the space-group type: Pmmm, No. 47.

Structure (POSCAR):
```
Cd3Pd3Pt2
1.0
4.215 0.000 0.000
0.000 4.146 0.000
0.000 0.000 7.760
Cd Pd Pt
3 3 2
direct
0.000 0.500 0.500
0.500 0.000 0.500
0.500 0.000 0.000
0.500 0.500 0.250
0.500 0.500 0.750
0.000 0.500 0.000
0.000 0.000 0.247
0.000 0.000 0.753
```


Compound: CdPdPt2
Source: Alexandria via LeMat-Bulk
Functional: PBE-GGA
Structure: relaxed

Computed properties:
Its density of states at the Fermi level is 4.5 states/eV/f.u. The energy of formation comes out at -0.1784 eV per atom. As for the total energy: -4.7258 eV/atom. As for the space-group type: P4mm, No. 99.

Structure (POSCAR):
```
CdPdPt2
1.0
2.860 0.036 0.000
-0.036 2.860 0.000
0.000 0.000 8.019
Pt Pd Cd
2 1 1
direct
0.500 0.500 0.756
0.000 0.000 0.002
0.500 0.500 0.245
0.000 0.000 0.498
```


Compound: Cd2Pd5Pt4
Source: Alexandria via LeMat-Bulk
Functional: PBE-GGA
Structure: relaxed

Computed properties:
Its density of states at the Fermi level is 12.6 states/eV/f.u. As for the energy above the most stable polymorph in this dataset: 0.0 kJ/mol of atoms. The energy of formation comes out at -0.0795 eV per atom. As for the total energy: -4.8030 eV/atom. As for the space-group type: Pbam, No. 55.

Structure (POSCAR):
```
Cd2Pd5Pt4
1.0
3.901 0.000 0.000
0.000 6.165 0.000
0.000 0.000 15.535
Pt Pd Cd
8 10 4
direct
0.500 0.900 0.616
0.500 0.600 0.116
0.500 0.400 0.884
0.500 0.308 0.545
0.500 0.692 0.455
0.500 0.192 0.045
0.500 0.808 0.955
0.500 0.100 0.384
0.000 0.187 0.669
0.000 0.500 0.000
0.000 0.813 0.331
0.000 0.000 0.500
0.000 0.102 0.914
0.000 0.898 0.086
0.000 0.687 0.831
0.000 0.602 0.586
0.000 0.398 0.414
0.000 0.313 0.169
0.500 0.514 0.714
0.500 0.986 0.214
0.500 0.486 0.286
0.500 0.014 0.786
```


Compound: Cd6Pd12Pt
Source: Alexandria via LeMat-Bulk
Functional: PBE-GGA
Structure: relaxed

Computed properties:
Its density of states at the Fermi level is 13.4 states/eV/f.u. The energy of formation comes out at -0.1813 eV per atom. As for the total energy: -4.0680 eV/atom. As for the space-group type: R-3m, No. 166.

Structure (POSCAR):
```
Cd6Pd12Pt
1.0
7.106 -0.245 -0.293
-1.319 6.987 -0.293
-1.319 -1.537 6.822
Cd Pd Pt
6 12 1
direct
0.573 0.837 0.837
0.163 0.163 0.427
0.837 0.573 0.837
0.163 0.427 0.163
0.427 0.163 0.163
0.837 0.837 0.573
0.587 0.188 0.587
0.812 0.413 0.413
0.000 0.259 0.741
0.000 0.741 0.259
0.741 0.259 0.000
0.259 0.000 0.741
0.741 0.000 0.259
0.259 0.741 0.000
0.188 0.587 0.587
0.413 0.812 0.413
0.587 0.587 0.188
0.413 0.413 0.812
0.000 0.000 0.000
```


Compound: CdPd4Pt3
Source: Alexandria via LeMat-Bulk
Functional: PBE-GGA
Structure: relaxed

Computed properties:
Its density of states at the Fermi level is 15.5 states/eV/f.u. The energy of formation comes out at -0.1238 eV per atom. As for the total energy: -5.0999 eV/atom. As for the space-group type: P-1, No. 2.

Structure (POSCAR):
```
CdPd4Pt3
1.0
4.807 -0.251 0.573
1.719 3.451 1.177
-0.682 0.152 7.433
Pt Pd Cd
3 4 1
direct
0.738 0.759 0.744
0.500 0.500 0.500
0.262 0.241 0.256
0.629 0.621 0.128
0.371 0.379 0.872
0.881 0.871 0.376
0.119 0.129 0.624
0.000 0.000 0.000
```


Compound: Cd3Pd3Pt
Source: Alexandria via LeMat-Bulk
Functional: PBE-GGA
Structure: relaxed

Computed properties:
Its density of states at the Fermi level is 4.5 states/eV/f.u. The energy of formation comes out at -0.2525 eV per atom. As for the total energy: -3.7332 eV/atom. As for the space-group type: Cmmm, No. 65.

Structure (POSCAR):
```
Cd3Pd3Pt
1.0
6.582 0.004 -0.001
0.019 6.581 -0.001
0.000 0.000 5.972
Pd Cd Pt
6 6 2
direct
0.500 0.000 0.245
0.000 0.500 0.755
0.000 0.000 0.768
0.000 0.000 0.232
0.500 0.000 0.755
0.000 0.500 0.245
0.261 0.261 0.500
0.686 0.314 0.000
0.751 0.249 0.500
0.314 0.686 0.000
0.249 0.751 0.500
0.739 0.739 0.500
0.259 0.259 0.000
0.741 0.741 0.000
```


Compound: Cd4PdPt15
Source: Alexandria via LeMat-Bulk
Functional: PBE-GGA
Structure: relaxed

Computed properties:
Its density of states at the Fermi level is 22.6 states/eV/f.u. The energy of formation comes out at -0.1597 eV per atom. As for the total energy: -5.1330 eV/atom. As for the space-group type: P4/mmm, No. 123.

Structure (POSCAR):
```
Cd4PdPt15
1.0
-2.928 -1.756 2.102
0.371 -3.303 -2.242
13.725 -7.296 13.018
Pt Cd Pd
15 4 1
direct
0.500 0.000 0.702
0.500 0.500 0.197
0.000 0.500 0.500
0.500 0.500 0.601
0.500 0.000 0.500
0.500 0.500 0.399
0.000 0.500 0.702
0.500 0.000 0.097
0.500 0.500 0.803
0.500 0.000 0.903
0.000 0.500 0.903
0.000 0.500 0.097
0.500 0.500 0.000
0.000 0.500 0.298
0.500 0.000 0.298
0.000 0.000 0.601
0.000 0.000 0.399
0.000 0.000 0.198
0.000 0.000 0.802
0.000 0.000 0.000
```